<A>
Y5Os3 | GGA-PBE | relaxed

Structure (extended XYZ):
```
16
Lattice="8.280 0.000 0.000 -4.140 7.170 0.000 0.000 0.000 6.308" Properties=species:S:1:pos:R:3 pbc="T T T"
Y -1.082 1.873 1.577
Y -3.058 5.297 4.731
Y 2.163 0.000 1.577
Y 1.082 1.873 4.731
Y 0.000 4.780 0.000
Y 0.000 4.780 3.154
Y 4.140 2.390 0.000
Y 4.140 2.390 3.154
Y 6.117 0.000 4.731
Y 3.058 5.297 1.577
Os -1.626 2.817 4.731
Os -2.513 4.353 1.577
Os 3.253 0.000 4.731
Os 1.626 2.817 1.577
Os 5.027 0.000 1.577
Os 2.513 4.353 4.731
```

SG = P6_3/mcm (193)



<B>
Y5Os3 | GGA-PBE | relaxed

Structure (extended XYZ):
```
8
Lattice="3.687 -5.070 0.000 3.687 5.070 0.000 0.000 0.000 4.738" Properties=species:S:1:pos:R:3 pbc="T T T"
Y 0.000 0.000 0.000
Y 1.844 2.535 0.000
Y 2.092 0.000 2.369
Y 1.844 -2.535 0.000
Y 5.283 0.000 2.369
Os 3.687 2.814 2.369
Os 3.687 0.000 0.000
Os 3.687 -2.814 2.369
```

SG = Cmmm (65)



<C>
Y5Os3 | GGA-PBE | relaxed

Structure (extended XYZ):
```
16
Lattice="3.202 -8.107 0.000 3.202 8.107 0.000 -1.457 0.000 7.418" Properties=species:S:1:pos:R:3 pbc="T T T"
Y 0.949 5.034 5.914
Y 0.938 1.826 4.728
Y 1.598 0.000 0.244
Y 3.998 5.034 1.504
Y 0.938 -1.826 4.728
Y 4.009 1.826 2.690
Y 0.949 -5.034 5.914
Y 3.349 0.000 7.174
Y 4.009 -1.826 2.690
Y 3.998 -5.034 1.504
Os -0.161 0.000 2.567
Os 2.474 4.034 3.709
Os 3.202 2.457 0.000
Os 3.202 -2.457 0.000
Os 2.474 -4.034 3.709
Os 5.108 0.000 4.851
```

SG = C2/m (12)



Q: Which of them is the most stable? A: <C>.



<A>
Y4Os5 | GGA-PBE | relaxed

Structure (extended XYZ):
```
9
Lattice="-5.252 5.252 1.607 5.252 -5.252 1.607 5.252 5.252 -1.607" Properties=species:S:1:pos:R:3 pbc="T T T"
Y 3.122 0.000 0.000
Y 7.382 0.000 0.000
Y 0.000 3.122 0.000
Y 0.000 7.382 0.000
Os 0.000 0.000 0.000
Os 3.447 3.447 0.000
Os 1.804 -1.804 1.607
Os -1.804 1.804 1.607
Os 1.804 1.804 1.607
```

SG = I4/mmm (139)



<B>
Y4Os5 | GGA-PBE | relaxed

Structure (extended XYZ):
```
18
Lattice="8.466 0.000 0.000 -4.233 7.331 0.000 0.000 0.000 5.674" Properties=species:S:1:pos:R:3 pbc="T T T"
Y 0.000 0.000 0.000
Y 0.000 0.000 2.837
Y -1.579 2.735 1.419
Y -2.654 4.596 4.256
Y 3.158 0.000 1.419
Y 1.579 2.735 4.256
Y 5.307 0.000 4.256
Y 2.654 4.596 1.419
Os -1.311 2.271 4.256
Os -2.922 5.060 1.419
Os 2.622 0.000 4.256
Os 1.311 2.271 1.419
Os 0.000 4.888 0.000
Os 0.000 4.888 2.837
Os 4.233 2.444 0.000
Os 4.233 2.444 2.837
Os 5.843 0.000 1.419
Os 2.922 5.060 4.256
```

SG = P6_3/mcm (193)



Q: Which of them is the most stable? A: <A>.



<A>
Y4Os3 | GGA-PBE | relaxed

Structure (extended XYZ):
```
7
Lattice="5.373 0.000 0.000 -2.686 4.653 0.000 0.000 0.000 6.072" Properties=species:S:1:pos:R:3 pbc="T T T"
Y 0.000 0.000 1.450
Y 0.000 0.000 4.622
Y 0.000 3.102 3.036
Y 2.686 1.551 3.036
Os -1.343 2.326 0.000
Os 2.686 0.000 0.000
Os 1.343 2.326 0.000
```

SG = P6/mmm (191)



<B>
Y4Os3 | GGA-PBE | relaxed

Structure (extended XYZ):
```
7
Lattice="-1.635 1.635 15.337 1.635 -1.635 15.337 1.635 1.635 -15.337" Properties=species:S:1:pos:R:3 pbc="T T T"
Y 0.000 0.000 1.711
Y 0.000 0.000 10.314
Y 0.000 0.000 20.360
Y 0.000 0.000 28.963
Os 0.000 0.000 7.012
Os 0.000 0.000 15.337
Os 0.000 0.000 23.662
```

SG = I4/mmm (139)



Q: Which of them is the most stable? A: <A>.